No. 1
First-principles (PBE) data for crystalline Cs5CdAs2 at its relaxed geometry, as listed in Alexandria.

```
Cs5CdAs2
1.0
0.187 -5.386 3.673
-2.116 -5.674 -2.422
8.517 -5.665 -2.951
Cd As Cs
1 2 5
direct
0.000 0.000 0.000
0.088 0.088 0.737
0.912 0.912 0.263
0.500 0.500 0.500
0.218 0.218 0.345
0.632 0.632 0.105
0.368 0.368 0.895
0.782 0.782 0.655
```

total magnetization = 0.00 μB/atom
calculated formation energy = -0.2365 eV/atom
E = -16.37 eV for the cell shown



No. 2
First-principles (PBE) data for crystalline ZnCd at its relaxed geometry, as listed in Alexandria.

```
ZnCd
1.0
-1.980 1.858 1.080
-1.951 -4.640 4.407
8.415 4.221 8.168
Zn Cd
6 6
direct
0.000 0.020 0.612
0.000 0.706 0.000
0.500 0.980 0.888
0.500 0.294 0.500
0.500 0.980 0.112
0.000 0.020 0.388
0.500 0.303 0.746
0.000 0.697 0.246
0.000 0.697 0.754
0.000 0.653 0.500
0.500 0.303 0.254
0.500 0.347 0.000
```

total magnetization = 0.00 μB/atom
calculated formation energy = 0.0881 eV/atom
E = -12.08 eV for the cell shown



No. 3
First-principles (PBE) data for crystalline K3SiIr at its relaxed geometry, as listed in Alexandria.

```
K3SiIr
1.0
-0.001 -5.524 -2.607
5.173 -1.387 2.937
-3.249 -2.207 4.678
Si K Ir
1 3 1
direct
0.500 0.500 0.500
0.000 0.500 0.000
0.500 0.000 0.000
0.000 0.000 0.500
0.000 0.000 0.000
```

total magnetization = 0.80 μB/atom
E = -12.16 eV for the cell shown
ΔE_f (raw) = 1.082 eV/atom



No. 4
First-principles (PBE) data for crystalline KZnIN2 at its relaxed geometry, as listed in Alexandria.

```
KZnIN2
1.0
-1.538 -3.589 -2.142
4.136 -1.634 -0.232
-0.808 -2.792 5.258
N K Zn I
2 1 1 1
direct
0.000 0.500 0.000
0.500 0.000 0.000
0.500 0.500 0.500
0.000 0.000 0.000
0.000 0.000 0.500
```

total magnetization = 0.80 μB/atom
E = -15.72 eV for the cell shown
ΔE_f (raw) = 0.970 eV/atom



No. 5
First-principles (PBE) data for crystalline SiBiS2 at its relaxed geometry, as listed in Alexandria.

```
SiBiS2
1.0
3.426 -6.307 4.625
1.831 -8.171 1.669
5.301 -6.570 1.283
S Bi Si
2 1 1
direct
0.096 0.096 0.096
0.904 0.904 0.904
0.500 0.500 0.500
0.000 0.000 0.000
```

total magnetization = 0.00 μB/atom
E = -16.76 eV for the cell shown
ΔE_f (raw) = 0.201 eV/atom



No. 6
First-principles (PBE) data for crystalline TbNdInSn at its relaxed geometry, as listed in Alexandria.

```
TbNdInSn
1.0
-1.592 3.418 2.693
1.791 -1.923 3.499
5.719 1.277 -2.225
Sn Tb In Nd
1 1 1 1
direct
0.586 0.500 0.172
0.137 0.000 0.273
0.414 0.000 0.829
0.863 0.500 0.725
```

total magnetization = 0.00 μB/atom
calculated formation energy = -0.6247 eV/atom
E = -18.64 eV for the cell shown



No. 7
First-principles (PBE) data for crystalline TaV5 at its relaxed geometry, as listed in Alexandria.

```
TaV5
1.0
3.067 0.000 0.000
0.000 4.362 0.000
0.000 -2.181 6.441
V Ta
5 1
direct
0.000 0.331 0.663
0.500 0.500 0.000
0.000 0.669 0.337
0.500 0.176 0.352
0.500 0.824 0.648
0.000 0.000 0.000
```

total magnetization = 0.00 μB/atom
calculated formation energy = 0.0281 eV/atom
E = -57.28 eV for the cell shown



No. 8
First-principles (PBE) data for crystalline Y2Ho3Tm at its relaxed geometry, as listed in Alexandria.

```
Y2Ho3Tm
1.0
6.656 0.000 0.000
0.000 6.790 0.173
-3.328 -1.495 8.368
Ho Y Tm
6 4 2
direct
0.801 0.476 0.707
0.254 0.750 0.000
0.199 0.524 0.293
0.094 0.024 0.293
0.746 0.250 0.000
0.906 0.976 0.707
0.261 0.358 0.646
0.739 0.642 0.354
0.615 0.142 0.354
0.385 0.858 0.646
0.739 0.750 0.000
0.261 0.250 0.000
```

total magnetization = 0.00 μB/atom
calculated formation energy = 0.1450 eV/atom
E = -60.53 eV for the cell shown



No. 9
First-principles (PBE) data for crystalline Mg2AlRu at its relaxed geometry, as listed in Alexandria.

```
Mg2AlRu
1.0
-5.228 0.015 0.098
-4.152 -3.172 0.193
-1.817 -0.494 4.031
Mg Al Ru
2 1 1
direct
0.006 0.006 0.994
0.233 0.233 0.268
0.775 0.775 0.725
0.486 0.486 0.513
```

total magnetization = 0.00 μB/atom
calculated formation energy = -0.2097 eV/atom
E = -17.05 eV for the cell shown



No. 10
First-principles (PBE) data for crystalline TbPmNd4 at its relaxed geometry, as listed in Alexandria.

```
TbPmNd4
1.0
-5.617 -1.354 0.014
2.476 -10.336 -6.166
3.912 -3.856 3.991
Nd Tb Pm
8 2 2
direct
0.207 0.958 0.914
0.793 0.042 0.086
0.293 0.542 0.086
0.707 0.458 0.914
0.458 0.709 0.418
0.542 0.291 0.582
0.040 0.791 0.582
0.960 0.209 0.418
0.000 0.500 0.500
0.500 0.000 0.500
0.750 0.750 0.000
0.250 0.250 0.000
```

total magnetization = 0.00 μB/atom
calculated formation energy = 0.0580 eV/atom
E = -56.21 eV for the cell shown



No. 11
First-principles (PBE) data for crystalline Ac2Ce2Ge5 at its relaxed geometry, as listed in Alexandria.

```
Ac2Ce2Ge5
1.0
8.002 0.000 0.000
0.000 7.931 0.000
0.000 -3.965 7.624
Ge Ac Ce
10 4 4
direct
0.328 0.947 0.243
0.172 0.204 0.757
0.828 0.796 0.243
0.672 0.296 0.243
0.328 0.704 0.757
0.500 0.500 0.000
0.172 0.447 0.243
0.672 0.053 0.757
0.828 0.553 0.757
0.000 0.000 0.000
0.500 0.711 0.422
0.000 0.789 0.578
0.000 0.211 0.422
0.500 0.289 0.578
0.630 0.870 0.000
0.130 0.630 0.000
0.370 0.130 0.000
0.870 0.370 0.000
```

total magnetization = 0.00 μB/atom
calculated formation energy = -0.5617 eV/atom
E = -96.45 eV for the cell shown